No. 1
## ZrTaAl2 (PBE)

Data for ZrTaAl2 after structural relaxation.

Values from the calculation:
Density of states at the Fermi level ... 5.0 states/eV per cell
Calculated formation energy ... 69.2 meV per atom
Calculated density ... 7.5 g/cm³
Calculated volume ... 72 Å³ per cell

```
ZrTaAl2
1.0
0.0000 3.3007 3.3007
3.3007 0.0000 3.3007
3.3007 3.3007 0.0000
Zr Ta Al
1 1 2
direct
0.0000 0.0000 0.0000
0.2500 0.2500 0.2500
0.5000 0.5000 0.5000
0.7500 0.7500 0.7500
```

***

No. 2
## Sb2AsBr (PBE)

Data for Sb2AsBr after structural relaxation.

Values from the calculation:
Density of states at the Fermi level ... 1.9 states/eV per cell
Energy relative to the elements, uncorrected ... 0.047 eV/atom
Calculated density ... 5.9 g/cm³
Calculated volume ... 112 Å³ per cell

```
Sb2AsBr
1.0
3.2031 0.0000 0.0000
0.0000 4.2614 0.0000
-0.1526 0.0000 8.2408
Sb As Br
2 1 1
direct
0.0032 0.0000 0.2293
0.9968 0.0000 0.7707
0.0000 0.5000 0.0000
0.0000 0.5000 0.5000
```

***

No. 3
## NaTl4Hg6 (PBE)

Data for NaTl4Hg6 after structural relaxation.

Values from the calculation:
Density of states at the Fermi level ... 5.5 states/eV per cell
Calculated formation energy ... -57.0 meV per atom
Calculated density ... 10.8 g/cm³
Calculated volume ... 631 Å³ per cell

```
NaTl4Hg6
1.0
2.5276 -5.2362 0.0000
2.5276 5.2362 0.0000
0.0000 0.0000 23.8424
Na Tl Hg
2 8 12
direct
0.1131 0.8869 0.7500
0.8869 0.1131 0.2500
0.1654 0.8346 0.0407
0.1654 0.8346 0.4593
0.4974 0.5026 0.1284
0.4974 0.5026 0.3716
0.5026 0.4974 0.6284
0.5026 0.4974 0.8716
0.8346 0.1654 0.5407
0.8346 0.1654 0.9593
0.1775 0.8225 0.6029
0.1775 0.8225 0.8971
0.1999 0.8001 0.1838
0.1999 0.8001 0.3162
0.4218 0.5782 0.7500
0.5000 0.5000 0.0000
0.5000 0.5000 0.5000
0.5782 0.4218 0.2500
0.8001 0.1999 0.6838
0.8001 0.1999 0.8162
0.8225 0.1775 0.1029
0.8225 0.1775 0.3971
```

***

No. 4
## La2Mg3 (PBE)

Data for La2Mg3 after structural relaxation.

Values from the calculation:
Density of states at the Fermi level ... 5.1 states/eV per cell
Calculated formation energy ... 52.7 meV per atom
Calculated density ... 3.9 g/cm³
Calculated volume ... 148 Å³ per cell

```
La2Mg3
1.0
1.7175 0.9916 14.4520
-1.7175 0.9916 14.4520
0.0000 -1.9831 14.4520
La Mg
2 3
direct
0.0986 0.0986 0.0986
0.9014 0.9014 0.9014
0.3032 0.3032 0.3032
0.5000 0.5000 0.5000
0.6968 0.6968 0.6968
```